--- A ---
! HfRuCl2 | the Alexandria database | PBE | relaxed; values from VASP
&SYSTEM
  ibrav = 0, nat = 4, ntyp = 3
/
ATOMIC_SPECIES
Cl 35.45 Cl.upf
Ru 101.07 Ru.upf
Hf 178.49 Hf.upf
CELL_PARAMETERS angstrom
2.040 -7.954 2.417
4.785 -6.978 1.298
3.964 -6.298 4.231
ATOMIC_POSITIONS crystal
Cl 0.092 0.092 0.092
Cl 0.908 0.908 0.908
Ru 0.000 0.000 0.000
Hf 0.500 0.500 0.500
! M_tot = 0.00 μB per cell



--- B ---
! HfRuCl2 | the Alexandria database | PBE | relaxed; values from VASP
&SYSTEM
  ibrav = 0, nat = 4, ntyp = 3
/
ATOMIC_SPECIES
Cl 35.45 Cl.upf
Ru 101.07 Ru.upf
Hf 178.49 Hf.upf
CELL_PARAMETERS angstrom
-1.633 -1.367 3.931
0.030 2.762 3.516
-3.838 1.701 1.540
ATOMIC_POSITIONS crystal
Cl 0.250 0.250 0.250
Cl 0.750 0.750 0.750
Ru 0.000 0.000 0.000
Hf 0.500 0.500 0.500
! M_tot = 0.00 μB per cell



--- C ---
! HfRuCl2 | the Alexandria database | PBE | relaxed; values from VASP
&SYSTEM
  ibrav = 0, nat = 8, ntyp = 3
/
ATOMIC_SPECIES
Ru 101.07 Ru.upf
Cl 35.45 Cl.upf
Hf 178.49 Hf.upf
CELL_PARAMETERS angstrom
-3.467 4.215 -1.404
-3.253 -1.195 4.444
-0.542 4.811 4.471
ATOMIC_POSITIONS crystal
Ru 0.500 0.500 0.000
Ru 0.250 0.750 0.500
Cl 0.875 0.859 0.750
Cl 0.609 0.125 0.250
Cl 0.375 0.391 0.750
Cl 0.141 0.625 0.250
Hf 0.000 0.000 0.000
Hf 0.750 0.250 0.500
! M_tot = 0.46 μB per cell



Name the most stable of them. A.



--- A ---
! Hf3RuCl | the Alexandria database | PBE | relaxed; values from VASP
&SYSTEM
  ibrav = 0, nat = 5, ntyp = 3
/
ATOMIC_SPECIES
Hf 178.49 Hf.upf
Cl 35.45 Cl.upf
Ru 101.07 Ru.upf
CELL_PARAMETERS angstrom
5.036 0.000 0.000
0.000 5.036 0.000
0.000 0.000 5.036
ATOMIC_POSITIONS crystal
Hf 0.500 0.000 0.000
Hf 0.000 0.500 0.000
Hf 0.000 0.000 0.500
Cl 0.500 0.500 0.500
Ru 0.000 0.000 0.000
! M_tot = 0.00 μB per cell



--- B ---
! Hf3RuCl | the Alexandria database | PBE | relaxed; values from VASP
&SYSTEM
  ibrav = 0, nat = 5, ntyp = 3
/
ATOMIC_SPECIES
Hf 178.49 Hf.upf
Ru 101.07 Ru.upf
Cl 35.45 Cl.upf
CELL_PARAMETERS angstrom
4.634 0.000 0.000
0.000 4.634 0.000
0.000 0.000 4.634
ATOMIC_POSITIONS crystal
Hf 0.000 0.000 0.500
Hf 0.500 0.000 0.000
Hf 0.000 0.500 0.000
Ru 0.500 0.500 0.500
Cl 0.000 0.000 0.000
! M_tot = 0.00 μB per cell



Name the most stable of them. B.



--- A ---
! HfRu2Cl | the Alexandria database | PBE | relaxed; values from VASP
&SYSTEM
  ibrav = 0, nat = 8, ntyp = 3
/
ATOMIC_SPECIES
Ru 101.07 Ru.upf
Cl 35.45 Cl.upf
Hf 178.49 Hf.upf
CELL_PARAMETERS angstrom
-5.106 1.849 0.752
-1.772 -3.249 -4.045
-4.394 -4.872 2.122
ATOMIC_POSITIONS crystal
Ru 0.875 0.825 0.750
Ru 0.175 0.625 0.250
Ru 0.375 0.425 0.750
Ru 0.575 0.125 0.250
Cl 0.250 0.750 0.500
Cl 0.500 0.500 0.000
Hf 0.000 0.000 0.000
Hf 0.750 0.250 0.500
! M_tot = 0.00 μB per cell



--- B ---
! HfRu2Cl | the Alexandria database | PBE | relaxed; values from VASP
&SYSTEM
  ibrav = 0, nat = 4, ntyp = 3
/
ATOMIC_SPECIES
Hf 178.49 Hf.upf
Ru 101.07 Ru.upf
Cl 35.45 Cl.upf
CELL_PARAMETERS angstrom
3.212 -0.683 -3.097
2.963 -3.364 0.526
-0.193 -3.619 -2.692
ATOMIC_POSITIONS crystal
Hf 0.500 0.500 0.500
Ru 0.750 0.750 0.750
Ru 0.250 0.250 0.250
Cl 0.000 0.000 0.000
! M_tot = 0.00 μB per cell



Name the most stable of them. B.



--- A ---
! Hf2RuCl | the Alexandria database | PBE | relaxed; values from VASP
&SYSTEM
  ibrav = 0, nat = 8, ntyp = 3
/
ATOMIC_SPECIES
Cl 35.45 Cl.upf
Hf 178.49 Hf.upf
Ru 101.07 Ru.upf
CELL_PARAMETERS angstrom
-2.444 -4.731 1.279
1.138 -1.938 -4.994
5.105 -5.706 0.375
ATOMIC_POSITIONS crystal
Cl 0.500 0.500 0.000
Cl 0.250 0.750 0.500
Hf 0.875 0.897 0.750
Hf 0.103 0.625 0.250
Hf 0.375 0.353 0.750
Hf 0.647 0.125 0.250
Ru 0.750 0.250 0.500
Ru 0.000 0.000 0.000
! M_tot = 0.00 μB per cell



--- B ---
! Hf2RuCl | the Alexandria database | PBE | relaxed; values from VASP
&SYSTEM
  ibrav = 0, nat = 4, ntyp = 3
/
ATOMIC_SPECIES
Cl 35.45 Cl.upf
Hf 178.49 Hf.upf
Ru 101.07 Ru.upf
CELL_PARAMETERS angstrom
0.702 -4.424 1.377
-3.629 -2.635 1.358
-1.455 -3.550 -2.691
ATOMIC_POSITIONS crystal
Cl 0.000 0.000 0.000
Hf 0.750 0.750 0.750
Hf 0.250 0.250 0.250
Ru 0.500 0.500 0.500
! M_tot = 0.00 μB per cell



Name the most stable of them. B.



--- A ---
! SrHfRu2Cl | the Alexandria database | PBE | relaxed; values from VASP
&SYSTEM
  ibrav = 0, nat = 5, ntyp = 4
/
ATOMIC_SPECIES
Sr 87.62 Sr.upf
Cl 35.45 Cl.upf
Hf 178.49 Hf.upf
Ru 101.07 Ru.upf
CELL_PARAMETERS angstrom
-0.987 -0.475 -4.411
-0.946 -4.884 0.737
-4.354 0.974 0.869
ATOMIC_POSITIONS crystal
Sr 0.000 0.500 0.000
Cl 0.000 0.000 0.000
Hf 0.500 0.500 0.500
Ru 0.500 0.000 0.000
Ru 0.000 0.000 0.500
! M_tot = 0.00 μB per cell



--- B ---
! SrHfRu2Cl | the Alexandria database | PBE | relaxed; values from VASP
&SYSTEM
  ibrav = 0, nat = 5, ntyp = 4
/
ATOMIC_SPECIES
Cl 35.45 Cl.upf
Hf 178.49 Hf.upf
Ru 101.07 Ru.upf
Sr 87.62 Sr.upf
CELL_PARAMETERS angstrom
4.701 0.000 0.000
0.000 7.091 0.000
0.000 0.000 4.701
ATOMIC_POSITIONS crystal
Cl 0.500 0.500 0.500
Hf 0.000 0.000 0.000
Ru 0.000 0.000 0.500
Ru 0.500 0.000 0.000
Sr 0.000 0.500 0.000
! M_tot = 1.37 μB per cell



Name the most stable of them. B.



--- A ---
! HfSCl3 | the Alexandria database | PBE | relaxed; values from VASP
&SYSTEM
  ibrav = 0, nat = 5, ntyp = 3
/
ATOMIC_SPECIES
Cl 35.45 Cl.upf
S 32.06 S.upf
Hf 178.49 Hf.upf
CELL_PARAMETERS angstrom
4.967 0.000 0.000
0.000 4.967 0.000
0.000 0.000 4.967
ATOMIC_POSITIONS crystal
Cl 0.500 0.000 0.000
Cl 0.000 0.000 0.500
Cl 0.000 0.500 0.000
S 0.500 0.500 0.500
Hf 0.000 0.000 0.000
! M_tot = 1.44 μB per cell



--- B ---
! HfSCl3 | the Alexandria database | PBE | relaxed; values from VASP
&SYSTEM
  ibrav = 0, nat = 5, ntyp = 3
/
ATOMIC_SPECIES
S 32.06 S.upf
Cl 35.45 Cl.upf
Hf 178.49 Hf.upf
CELL_PARAMETERS angstrom
-0.567 -4.154 -2.639
-1.613 -2.353 4.050
-4.649 1.323 -1.083
ATOMIC_POSITIONS crystal
S 0.000 0.000 0.000
Cl 0.000 0.500 0.000
Cl 0.000 0.000 0.500
Cl 0.500 0.000 0.000
Hf 0.500 0.500 0.500
! M_tot = 2.22 μB per cell



Name the most stable of them. A.



--- A ---
! HfScS2Cl | the Alexandria database | PBE | relaxed; values from VASP
&SYSTEM
  ibrav = 0, nat = 5, ntyp = 4
/
ATOMIC_SPECIES
S 32.06 S.upf
Hf 178.49 Hf.upf
Sc 44.96 Sc.upf
Cl 35.45 Cl.upf
CELL_PARAMETERS angstrom
-0.842 -0.730 -4.797
-1.968 -4.399 1.015
-4.219 1.988 0.438
ATOMIC_POSITIONS crystal
S 0.000 0.500 0.000
S 0.500 0.000 0.000
Hf 0.500 0.500 0.500
Sc 0.000 0.000 0.000
Cl 0.000 0.000 0.500
! M_tot = 1.81 μB per cell



--- B ---
! HfScS2Cl | the Alexandria database | PBE | relaxed; values from VASP
&SYSTEM
  ibrav = 0, nat = 5, ntyp = 4
/
ATOMIC_SPECIES
S 32.06 S.upf
Hf 178.49 Hf.upf
Sc 44.96 Sc.upf
Cl 35.45 Cl.upf
CELL_PARAMETERS angstrom
4.942 0.000 0.000
0.000 4.942 0.000
0.000 0.000 4.824
ATOMIC_POSITIONS crystal
S 0.500 0.000 0.000
S 0.000 0.500 0.000
Hf 0.000 0.000 0.000
Sc 0.500 0.500 0.500
Cl 0.000 0.000 0.500
! M_tot = 1.28 μB per cell



Name the most stable of them. B.



--- A ---
! HfSe2SCl | the Alexandria database | PBE | relaxed; values from VASP
&SYSTEM
  ibrav = 0, nat = 5, ntyp = 4
/
ATOMIC_SPECIES
S 32.06 S.upf
Se 78.96 Se.upf
Hf 178.49 Hf.upf
Cl 35.45 Cl.upf
CELL_PARAMETERS angstrom
-2.325 -1.720 -3.918
0.520 -4.564 1.695
-4.248 0.389 2.350
ATOMIC_POSITIONS crystal
S 0.000 0.000 0.000
Se 0.500 0.000 0.000
Se 0.000 0.000 0.500
Hf 0.000 0.500 0.000
Cl 0.500 0.500 0.500
! M_tot = 0.52 μB per cell



--- B ---
! HfSe2SCl | the Alexandria database | PBE | relaxed; values from VASP
&SYSTEM
  ibrav = 0, nat = 5, ntyp = 4
/
ATOMIC_SPECIES
Cl 35.45 Cl.upf
Se 78.96 Se.upf
S 32.06 S.upf
Hf 178.49 Hf.upf
CELL_PARAMETERS angstrom
5.221 0.000 0.000
0.000 4.850 0.000
0.000 0.000 5.221
ATOMIC_POSITIONS crystal
Cl 0.500 0.500 0.500
Se 0.000 0.000 0.500
Se 0.500 0.000 0.000
S 0.000 0.500 0.000
Hf 0.000 0.000 0.000
! M_tot = 0.00 μB per cell



Name the most stable of them. B.